Crystalline Ba2TaCI at its relaxed geometry, computed with PBE.

## Properties
space group	P4/mmm, No. 123
calculated density	5.30	g/cm³
E_form (uncorrected)	786.1	kJ/mol of formula units
Fermi-level density of states	1.022	states/eV/atom

abc: 6.533 6.533 4.362
angles: 90.00 90.00 90.00
Fractional coordinates of all 5 atoms:
Ba: 0.000 0.500 0.000
Ba: 0.500 0.000 0.000
Ta: 0.000 0.000 0.500
C: 0.500 0.500 0.500
I: 0.500 0.500 0.000